Ho6Th3Sc after structural relaxation. Source: Alexandria, functional PBE-GGA.

SG: No. 148
Fermi-level density of states (states/eV per cell): 19.925
ΔE_f (eV/atom): 0.3248

a b c (Å): 9.7538 9.7538 6.8623
angles (deg): 44.71 44.71 60.00
Closest atoms and distances in Å follow each position.
Positions (direct):
Ho 0.9289 0.6010 0.2103  2 Th 3.26-3.43, 1 Sc 3.35
Ho 0.2598 0.9289 0.2103  2 Th 3.26-3.43, 1 Sc 3.35
Ho 0.6010 0.2598 0.2103  2 Th 3.26-3.43, 1 Sc 3.35
Ho 0.0991 0.4405 0.6888  2 Th 3.26-3.44, 1 Sc 3.35
Ho 0.7716 0.0991 0.6888  2 Th 3.26-3.44, 1 Sc 3.35
Ho 0.4405 0.7716 0.6888  2 Th 3.26-3.44, 1 Sc 3.35
Th 0.3498 0.3498 0.9506  2 Th 3.00
Th 0.6047 0.6047 0.1859  1 Sc 2.88, 1 Th 3.00
Th 0.0948 0.0948 0.7155  1 Sc 2.88, 1 Th 3.00
Sc 0.8498 0.8498 0.4507  2 Th 2.88

---

Ho4ThSc7 after structural relaxation. Source: Alexandria, functional PBE-GGA.

SG: No. 12
Fermi-level density of states (states/eV per cell): 22.882
ΔE_f (eV/atom): 0.2962

a b c (Å): 5.6205 10.9588 6.3766
angles (deg): 84.83 63.85 75.14
Closest atoms and distances in Å follow each position.
Positions (direct):
Ho 0.6332 0.2237 0.5099  7 Sc 3.19-3.44, 2 Ho 3.52
Ho 0.3668 0.7763 0.4901  7 Sc 3.19-3.44, 2 Ho 3.52
Ho 0.7645 0.6703 0.8006  5 Sc 3.11-3.47
Ho 0.2355 0.3297 0.1994  5 Sc 3.11-3.47
Th 0.0000 0.0000 0.0000  4 Sc 2.81-3.03
Sc 0.7859 0.9221 0.5062  4 Sc 2.92-3.26, 1 Th 3.03, 4 Ho 3.19-3.21
Sc 0.2141 0.0779 0.4938  4 Sc 2.92-3.26, 1 Th 3.03, 4 Ho 3.19-3.21
Sc 0.0652 0.6749 0.1947  4 Sc 3.05-3.37
Sc 0.9348 0.3251 0.8053  4 Sc 3.05-3.37
Sc 0.3686 0.4988 0.7639  4 Sc 3.02-3.37, 5 Ho 3.11-3.37
Sc 0.5000 0.0000 0.0000  2 Th 2.81, 2 Sc 2.92
Sc 0.6314 0.5012 0.2361  4 Sc 3.02-3.37, 5 Ho 3.11-3.37

---

HoTh12Sc6 after structural relaxation. Source: Alexandria, functional PBE-GGA.

SG: No. 204
Fermi-level density of states (states/eV per cell): 29.898
ΔE_f (eV/atom): 0.2518

a b c (Å): 9.0450 9.0450 9.0450
angles (deg): 109.47 109.47 109.47
Closest atoms and distances in Å follow each position.
Positions (direct):
Ho 0.0000 0.0000 0.0000  12 Th 3.40
Th 0.2682 0.0845 0.8163  1 Sc 3.00
Th 0.2682 0.4519 0.1837  1 Sc 3.00
Th 0.7318 0.5481 0.8163  1 Sc 3.00
Th 0.7318 0.9155 0.1837  1 Sc 3.00
Th 0.0845 0.8163 0.2682  1 Sc 3.00
Th 0.4519 0.1837 0.2682  1 Sc 3.00
Th 0.5481 0.8163 0.7318  1 Sc 3.00
Th 0.9155 0.1837 0.7318  1 Sc 3.00
Th 0.8163 0.2682 0.0845  1 Sc 3.00
Th 0.1837 0.2682 0.4519  1 Sc 3.00
Th 0.8163 0.7318 0.5481  1 Sc 3.00
Th 0.1837 0.7318 0.9155  1 Sc 3.00
Sc 0.3530 0.5000 0.8530  2 Th 3.00, 1 Sc 3.07
Sc 0.6470 0.5000 0.1470  2 Th 3.00, 1 Sc 3.07
Sc 0.5000 0.8530 0.3530  2 Th 3.00, 1 Sc 3.07
Sc 0.5000 0.1470 0.6470  2 Th 3.00, 1 Sc 3.07
Sc 0.8530 0.3530 0.5000  2 Th 3.00, 1 Sc 3.07
Sc 0.1470 0.6470 0.5000  2 Th 3.00, 1 Sc 3.07

---

Ho2ThSc8 after structural relaxation. Source: Alexandria, functional PBE-GGA.

SG: No. 12
Fermi-level density of states (states/eV per cell): 15.283
ΔE_f (eV/atom): 0.1541

a b c (Å): 5.4273 8.7347 9.1388
angles (deg): 61.45 72.75 51.64
Closest atoms and distances in Å follow each position.
Positions (direct):
Ho 0.0000 0.3100 0.3800  12 Sc 3.21-3.47
Ho 0.0000 0.6900 0.6200  12 Sc 3.21-3.47
Th 0.5000 0.0000 0.0000  2 Sc 3.25
Sc 0.7789 0.0936 0.2555  6 Sc 3.03-3.33, 1 Ho 3.30
Sc 0.7789 0.3492 0.7445  6 Sc 3.03-3.33, 1 Ho 3.30
Sc 0.2435 0.4991 0.0000  2 Sc 2.63-2.79
Sc 0.5000 0.7973 0.4055  4 Ho 3.21-3.43, 1 Th 3.25, 6 Sc 3.32-3.33
Sc 0.5000 0.2027 0.5945  4 Ho 3.21-3.43, 1 Th 3.25, 6 Sc 3.32-3.33
Sc 0.7565 0.5009 0.0000  2 Sc 2.63-2.79
Sc 0.2211 0.6508 0.2555  6 Sc 3.03-3.33, 1 Ho 3.30
Sc 0.2211 0.9064 0.7445  6 Sc 3.03-3.33, 1 Ho 3.30

---

- Look up the ΔE_f of the second one.
  0.2962 eV/atom

---

- Among the records above, which one has the highest ΔE_f?
  Ho6Th3Sc

---

- Which value of ΔE_f does entry 4 give?
  0.1541 eV/atom